The following is a PBE calculation of BaTlAs2 after structural relaxation, from the Alexandria database.

Crystal system: monoclinic
V, Å³ per cell: 126.19
DFT formation energy, eV per atom: -0.437

a = 5.798 Å, b = 5.798 Å, c = 5.872 Å
α = 113.52°, β = 113.52°, γ = 45.13°
Element x y z (fractional)
Ba: 0.000 0.000 0.000
Tl: 0.500 0.500 0.500
As: 0.244 0.244 0.618
As: 0.756 0.756 0.382


The following is a PBE calculation of ZrSc4Ru after structural relaxation, from the Alexandria database.

Crystal system: tetragonal
V, Å³ per cell: 131.56
DFT formation energy, eV per atom: -0.233

a = 3.244 Å, b = 3.244 Å, c = 12.505 Å
α = 90.00°, β = 90.00°, γ = 90.00°
Element x y z (fractional)
Zr: 0.000 0.000 0.000
Sc: 0.000 0.000 0.378
Sc: 0.000 0.000 0.622
Sc: 0.500 0.500 0.173
Sc: 0.500 0.500 0.827
Ru: 0.500 0.500 0.500


Q: Which of these has the lowest V?
A: BaTlAs2


Q: The lowest DFT formation energy belongs to which entry?
A: BaTlAs2


Q: Number 1 is which compound?
A: BaTlAs2


Q: What is the DFT formation energy in the second record?
A: -0.233 eV per atom